Record 1
Below is a relaxed NaCu3C crystal, with properties calculated at the GGA-PBE level.

Cell: 4.4638 4.4638 4.4638 Å, 90.00 90.00 90.00°
Closest atoms and distances in Å follow each position.
Atoms (fractional coordinates):
Na 0.0000 0.0000 0.0000  6 Cu 2.23
C 0.5000 0.5000 0.5000  12 Cu 3.16
Cu 0.0000 0.5000 0.0000  2 Na 2.23
Cu 0.0000 0.0000 0.5000  2 Na 2.23
Cu 0.5000 0.0000 0.0000  2 Na 2.23

Summary:
DOS at the Fermi energy: 2.63 states/eV per cell
energy of formation: 1199 kJ/mol of formula units

***

Record 2
Below is a relaxed NaCu3C crystal, with properties calculated at the GGA-PBE level.

Cell: 3.9864 3.9864 3.9864 Å, 90.00 90.00 90.00°
Closest atoms and distances in Å follow each position.
Atoms (fractional coordinates):
Na 0.5000 0.5000 0.5000  12 Cu 2.82
C 0.0000 0.0000 0.0000  6 Cu 1.99
Cu 0.0000 0.5000 0.0000  2 C 1.99
Cu 0.0000 0.0000 0.5000  2 C 1.99
Cu 0.5000 0.0000 0.0000  2 C 1.99

Summary:
DOS at the Fermi energy: 0.44 states/eV per cell
energy of formation: 154 kJ/mol of formula units

***

Record 3
Below is a relaxed NaCuC2 crystal, with properties calculated at the GGA-PBE level.

Cell: 3.8588 3.8588 3.8588 Å, 60.00 60.00 60.00°
Closest atoms and distances in Å follow each position.
Atoms (fractional coordinates):
Na 0.0000 0.0000 0.0000  8 C 2.36
C 0.2500 0.2500 0.2500  4 Cu 2.36, 4 Na 2.36
C 0.7500 0.7500 0.7500  4 Na 2.36, 4 Cu 2.36
Cu 0.5000 0.5000 0.5000  8 C 2.36

Summary:
DOS at the Fermi energy: 0.89 states/eV per cell
energy of formation: 788 kJ/mol of formula units

***

Record 4
Below is a relaxed NaCuNi2C crystal, with properties calculated at the GGA-PBE level.

Cell: 4.3261 4.0601 4.3261 Å, 90.00 90.00 90.00°
Closest atoms and distances in Å follow each position.
Atoms (fractional coordinates):
Ni 0.0000 0.0000 0.5000  2 Na 2.16
Ni 0.5000 0.0000 0.0000  2 Na 2.16
C 0.0000 0.5000 0.0000  2 Na 2.03
Cu 0.5000 0.5000 0.5000  8 Ni 2.97, 4 C 3.06
Na 0.0000 0.0000 0.0000  2 C 2.03, 4 Ni 2.16

Summary:
DOS at the Fermi energy: 4.08 states/eV per cell
energy of formation: 1162 kJ/mol of formula units

***

Record 5
Below is a relaxed NaCuC2O6 crystal, with properties calculated at the GGA-PBE level.

Cell: 4.7607 4.7607 6.1201 Å, 67.11 67.11 60.00°
Closest atoms and distances in Å follow each position.
Atoms (fractional coordinates):
Na 0.0000 0.0000 0.0000  6 O 2.41
Cu 0.5000 0.5000 0.5000  6 O 2.04
C 0.7634 0.7634 0.7099  3 O 1.29
C 0.2366 0.2366 0.2901  3 O 1.29
O 0.0459 0.5044 0.7160  1 C 1.29
O 0.7337 0.0459 0.7160  1 C 1.29
O 0.4956 0.2663 0.2840  1 C 1.29
O 0.9541 0.4956 0.2840  1 C 1.29
O 0.2663 0.9541 0.2840  1 C 1.29
O 0.5044 0.7337 0.7160  1 C 1.29

Summary:
DOS at the Fermi energy: 0.15 states/eV per cell
formation energy without anion corrections: -1.2181 eV/atom

***

Record 6
Below is a relaxed Na2CuCO4 crystal, with properties calculated at the GGA-PBE level.

Cell: 5.1115 4.8188 4.8188 Å, 73.66 57.97 57.97°
Closest atoms and distances in Å follow each position.
Atoms (fractional coordinates):
Na 0.0000 0.5000 0.5000  4 O 2.40, 2 Na 2.56
Na 0.5000 0.5000 0.5000  4 O 2.40, 2 Na 2.56
Cu 0.0000 0.0000 0.0000  4 O 2.03
C 0.5000 0.0000 0.0000  4 O 1.42
O 0.1932 0.2740 0.0000  1 C 1.42
O 0.8068 0.0000 0.7260  1 C 1.42
O 0.5328 0.0000 0.2740  1 C 1.42
O 0.4672 0.7260 0.0000  1 C 1.42

Summary:
DOS at the Fermi energy: 2.94 states/eV per cell
formation energy without anion corrections: -1.1149 eV/atom

***

Record 7
Below is a relaxed Na3CuPCO7 crystal, with properties calculated at the GGA-PBE level.

Cell: 6.5389 5.2528 9.1211 Å, 88.12 90.00 90.00°
Closest atoms and distances in Å follow each position.
Atoms (fractional coordinates):
Na 0.4998 0.2423 0.2638  4 O 2.26-2.47
Na 0.9998 0.7577 0.7362  4 O 2.26-2.47
Na 0.5002 0.7577 0.7362  4 O 2.26-2.47
Na 0.0002 0.2423 0.2638  4 O 2.26-2.47
Na 0.7500 0.2171 0.9091  4 O 2.31-2.44
Na 0.2500 0.7829 0.0909  4 O 2.31-2.44
Cu 0.2500 0.2350 0.6435  4 O 1.96-2.06
Cu 0.7500 0.7650 0.3565  4 O 1.96-2.06
P 0.7500 0.3155 0.5794  4 O 1.53-1.58
P 0.2500 0.6845 0.4206  4 O 1.53-1.58
C 0.2500 0.2899 0.9426  3 O 1.29-1.32
C 0.7500 0.7101 0.0574  3 O 1.29-1.32
O 0.2500 0.0988 0.8525  1 C 1.32
O 0.7500 0.9012 0.1475  1 C 1.32
O 0.2500 0.5213 0.8922  1 C 1.29
O 0.7500 0.4787 0.1078  1 C 1.29
O 0.2500 0.2349 0.0823  1 C 1.30
O 0.7500 0.7651 0.9177  1 C 1.30
O 0.9385 0.2414 0.6782  1 P 1.57
O 0.4385 0.7586 0.3218  1 P 1.57
O 0.0615 0.7586 0.3218  1 P 1.57
O 0.5615 0.2414 0.6782  1 P 1.57
O 0.7500 0.1855 0.4321  1 P 1.53
O 0.2500 0.8145 0.5679  1 P 1.53
O 0.2500 0.3858 0.4442  1 P 1.58
O 0.7500 0.6142 0.5558  1 P 1.58

Summary:
DOS at the Fermi energy: 1.24 states/eV per cell
formation energy without anion corrections: -1.7636 eV/atom

***

Record 8
Below is a relaxed Na2CuPCO7 crystal, with properties calculated at the GGA-PBE level.

Cell: 6.5411 5.1887 8.9934 Å, 88.56 90.00 90.00°
Closest atoms and distances in Å follow each position.
Atoms (fractional coordinates):
Na 0.5094 0.7609 0.7586  5 O 2.30-2.44
Na 0.9906 0.7609 0.7586  5 O 2.30-2.44
Na 0.4906 0.2391 0.2414  5 O 2.30-2.44
Na 0.0094 0.2391 0.2414  5 O 2.30-2.44
Cu 0.2500 0.2159 0.6437  6 O 2.00-2.09
Cu 0.7500 0.7841 0.3563  6 O 2.00-2.09
P 0.7500 0.2877 0.5749  4 O 1.55-1.57
P 0.2500 0.7123 0.4251  4 O 1.55-1.57
C 0.2500 0.2724 0.9196  3 O 1.26-1.31
C 0.7500 0.7276 0.0804  3 O 1.26-1.31
O 0.7500 0.6985 0.9422  1 C 1.26
O 0.2500 0.0477 0.8579  1 C 1.30
O 0.2500 0.4657 0.8231  1 C 1.31
O 0.9372 0.2036 0.6707  1 P 1.55
O 0.5628 0.2036 0.6707  1 P 1.55
O 0.2500 0.8387 0.5788  1 P 1.55
O 0.7500 0.5888 0.5515  1 P 1.57
O 0.2500 0.4112 0.4485  1 P 1.57
O 0.7500 0.1613 0.4212  1 P 1.55
O 0.4372 0.7964 0.3293  1 P 1.55
O 0.0628 0.7964 0.3293  1 P 1.55
O 0.7500 0.5343 0.1769  1 C 1.31
O 0.7500 0.9523 0.1421  1 C 1.30
O 0.2500 0.3015 0.0578  1 C 1.26

Summary:
DOS at the Fermi energy: 7.78 states/eV per cell
formation energy without anion corrections: -1.6309 eV/atom